## VZnO2 (PBE with a Hubbard U)

Data for a geometry-optimized VZnO2 structure.

Geometry as CIF:
```
data_VZnO2
_cell_length_a 14.9252
_cell_length_b 3.1010
_cell_length_c 11.0234
_cell_angle_alpha 90.00
_cell_angle_beta 132.28
_cell_angle_gamma 90.00
_symmetry_space_group_name_H-M 'C 1 2 1'
_symmetry_Int_Tables_number 5
loop_
_symmetry_equiv_pos_as_xyz
'x,y,z'
'-x,y,-z'
'x+1/2,y+1/2,z'
'-x+1/2,y+1/2,-z'
loop_
_atom_site_label
_atom_site_type_symbol
_atom_site_fract_x
_atom_site_fract_y
_atom_site_fract_z
V1 V 0.1398 0.9999 0.4827
V2 V 0.1576 0.5000 0.8116
Zn1 Zn 0.0311 0.0024 0.9285
Zn2 Zn 0.1490 0.5020 0.2079
O1 O 0.0243 0.5002 0.3616
O2 O 0.1619 0.0002 0.9432
O3 O 0.1828 0.0002 0.7113
O4 O 0.2183 0.0006 0.3854
```

Uncorrected energy   -196.37 eV for the cell shown